Compound: Ce5SnOs
Source: the Alexandria database
Functional: PBE
Structure: optimized geometry

Structure (POSCAR):
```
Ce5SnOs
1.0
5.337 -3.445 0.000
5.337 3.445 0.000
-4.222 0.000 10.103
Ce Sn Os
10 2 2
Cartesian
1.597 1.888 3.520 Ce
2.171 3.159 7.577 Ce
-0.222 1.038 9.429 Ce
6.967 1.888 1.532 Ce
1.888 -1.038 4.377 Ce
4.564 1.038 5.726 Ce
-0.514 -1.888 8.571 Ce
6.675 -1.038 0.674 Ce
4.282 -3.159 2.526 Ce
4.856 -1.888 6.583 Ce
4.282 0.242 2.526 Sn
2.171 -0.242 7.577 Sn
0.000 0.000 0.000 Os
-2.111 0.000 5.051 Os
```

Summary:
* ΔE_f: -167 meV per atom
* energy: -46.07 eV per formula unit
* mass density: 9.02 g cm⁻³
* crystal system: monoclinic

Compound: Ce4Sn3Os2
Source: the Alexandria database
Functional: PBE
Structure: optimized geometry

Structure (POSCAR):
```
Ce4Sn3Os2
1.0
7.331 -4.913 0.000
7.331 4.913 0.000
-1.715 0.000 6.493
Ce Sn Os
8 6 4
Cartesian
1.734 1.010 4.078 Ce
4.376 2.456 6.156 Ce
2.592 -1.010 0.831 Ce
7.713 2.456 3.583 Ce
5.234 -2.456 2.909 Ce
10.355 1.010 5.661 Ce
8.570 -2.456 0.337 Ce
11.213 -1.010 2.415 Ce
6.045 4.906 4.869 Sn
4.884 0.784 3.302 Sn
5.742 -0.784 0.055 Sn
7.205 0.784 6.437 Sn
8.063 -0.784 3.191 Sn
6.902 -4.906 1.623 Sn
3.926 1.314 0.792 Os
3.069 -1.314 4.038 Os
9.878 1.314 2.455 Os
9.021 -1.314 5.701 Os
```

Summary:
* ΔE_f: -395 meV per atom
* energy: -61.76 eV per formula unit
* mass density: 9.21 g cm⁻³
* crystal system: monoclinic